Entry from the Alexandria database: a geometry-optimized Na3Cu2Cl8 structure (PBE).

Properties
Energy in eV/atom: -3.00
SG: R-3m

a = 6.922 Å, b = 6.922 Å, c = 8.864 Å
α = 67.02°, β = 67.02°, γ = 60.00°
Last column: magnetic moment on the atom in μB.
Fractional coordinates of all 13 atoms:
Na (0.000, 0.000, 0.000)  0.00
Na (0.806, 0.806, 0.582)  0.00
Na (0.194, 0.194, 0.418)  0.00
Cu (0.600, 0.600, 0.200)  0.61
Cu (0.400, 0.400, 0.800)  0.61
Cl (0.693, 0.693, 0.921)  0.15
Cl (0.307, 0.307, 0.079)  0.15
Cl (0.218, 0.741, 0.299)  0.19
Cl (0.741, 0.218, 0.299)  0.19
Cl (0.741, 0.741, 0.299)  0.19
Cl (0.259, 0.782, 0.701)  0.19
Cl (0.782, 0.259, 0.701)  0.19
Cl (0.259, 0.259, 0.701)  0.19

Entry from the Alexandria database: a geometry-optimized Na3CuCl6 structure (PBE).

Properties
ΔE to the lowest computed polymorph in meV/atom: 2
Energy in eV/atom: -3.08
SG: R-3m

a = 7.954 Å, b = 7.954 Å, c = 7.954 Å
α = 89.03°, β = 89.03°, γ = 89.03°
Last column: magnetic moment on the atom in μB.
Fractional coordinates of all 20 atoms:
Na (0.250, 0.250, 0.750)  0.00
Na (0.250, 0.750, 0.250)  0.00
Na (0.750, 0.250, 0.250)  0.00
Na (0.750, 0.250, 0.750)  0.00
Na (0.250, 0.750, 0.750)  0.00
Na (0.750, 0.750, 0.250)  0.00
Cu (0.500, 0.500, 0.500)  0.20
Cu (0.000, 0.000, 0.000)  0.20
Cl (0.006, 0.697, 0.006)  0.04
Cl (0.697, 0.006, 0.006)  0.04
Cl (0.006, 0.006, 0.697)  0.04
Cl (0.506, 0.506, 0.197)  0.04
Cl (0.506, 0.197, 0.506)  0.04
Cl (0.197, 0.506, 0.506)  0.04
Cl (0.994, 0.303, 0.994)  0.04
Cl (0.303, 0.994, 0.994)  0.04
Cl (0.994, 0.994, 0.303)  0.04
Cl (0.494, 0.494, 0.803)  0.04
Cl (0.494, 0.803, 0.494)  0.04
Cl (0.803, 0.494, 0.494)  0.04

Entry from the Alexandria database: a geometry-optimized Na2Cu2Cl5 structure (PBE).

Properties
ΔE to the lowest computed polymorph in meV/atom: 0
Energy in eV/atom: -3.28
SG: Ima2

a = 6.876 Å, b = 6.716 Å, c = 9.960 Å
α = 109.70°, β = 110.19°, γ = 90.00°
Last column: magnetic moment on the atom in μB.
Fractional coordinates of all 18 atoms:
Na (0.140, 0.634, 0.218)  0.00
Na (0.860, 0.415, 0.782)  0.00
Na (0.578, 0.134, 0.218)  0.00
Na (0.422, 0.915, 0.782)  0.00
Cu (0.000, 0.978, 0.000)  0.17
Cu (0.500, 0.478, 0.000)  0.17
Cu (0.173, 0.304, 0.500)  0.28
Cu (0.827, 0.804, 0.500)  0.28
Cl (0.234, 0.708, 0.957)  0.02
Cl (0.766, 0.751, 0.043)  0.02
Cl (0.223, 0.208, 0.957)  0.02
Cl (0.777, 0.251, 0.043)  0.02
Cl (0.225, 0.091, 0.286)  0.05
Cl (0.775, 0.805, 0.714)  0.05
Cl (0.561, 0.591, 0.286)  0.05
Cl (0.439, 0.305, 0.714)  0.05
Cl (0.136, 0.650, 0.500)  0.03
Cl (0.864, 0.150, 0.500)  0.03

Entry from the Alexandria database: a geometry-optimized Na2CuCl4 structure (PBE).

Properties
ΔE to the lowest computed polymorph in meV/atom: 61
Energy in eV/atom: -3.18
SG: P2_1/m

a = 6.787 Å, b = 6.866 Å, c = 7.665 Å
α = 90.00°, β = 106.60°, γ = 90.00°
Last column: magnetic moment on the atom in μB.
Fractional coordinates of all 14 atoms:
Na (0.714, 0.750, 0.053)  0.00
Na (0.286, 0.250, 0.947)  0.00
Na (0.262, 0.250, 0.441)  0.00
Na (0.738, 0.750, 0.559)  0.00
Cu (0.248, 0.750, 0.190)  0.52
Cu (0.752, 0.250, 0.810)  0.52
Cl (0.485, 0.506, 0.250)  0.10
Cl (0.045, 0.750, 0.900)  0.09
Cl (0.955, 0.250, 0.100)  0.09
Cl (0.485, 0.994, 0.250)  0.10
Cl (0.962, 0.250, 0.628)  0.10
Cl (0.515, 0.006, 0.750)  0.10
Cl (0.515, 0.494, 0.750)  0.10
Cl (0.038, 0.750, 0.372)  0.10

Entry from the Alexandria database: a geometry-optimized NaCu2Cl4 structure (PBE).

Properties
Energy in eV/atom: -3.27
SG: P-42m

a = 5.265 Å, b = 5.265 Å, c = 6.504 Å
α = 90.00°, β = 90.00°, γ = 90.00°
Last column: magnetic moment on the atom in μB.
Fractional coordinates of all 7 atoms:
Na (0.000, 0.000, 0.000)  0.00
Cu (0.500, 0.000, 0.500)  0.36
Cu (0.000, 0.500, 0.500)  0.36
Cl (0.741, 0.259, 0.709)  0.07
Cl (0.259, 0.259, 0.291)  0.07
Cl (0.259, 0.741, 0.709)  0.07
Cl (0.741, 0.741, 0.291)  0.07

Entry from the Alexandria database: a geometry-optimized Na2CuCl structure (PBE).

Properties
ΔE to the lowest computed polymorph in meV/atom: 52
Energy in eV/atom: -2.58
SG: Fm-3m

a = 5.070 Å, b = 5.070 Å, c = 5.070 Å
α = 60.00°, β = 60.00°, γ = 60.00°
Fractional coordinates of all 4 atoms:
Na (0.250, 0.250, 0.250)
Na (0.750, 0.750, 0.750)
Cu (0.500, 0.500, 0.500)
Cl (0.000, 0.000, 0.000)